Here is Hf2ScRe after structural relaxation from Alexandria. Energies are from PBE.

Size of the total moment = 0.0 μB/f.u.
Mass density = 12.58 g/cm3
Total energy = -9.71 eV/atom
Volume = 77.6 Å³/cell
DOS(E_F) = 3.5 states/eV/f.u.

Cell: 4.7353 4.7353 3.4611 Å, 90.00 90.00 90.00°
With the nearest neighbours (Å) after each atom.
Positions (direct):
Hf: 0.0000 0.5000 0.0000  4 Re 2.93, 4 Sc 2.93
Hf: 0.5000 0.0000 0.0000  4 Re 2.93, 4 Sc 2.93
Sc: 0.0000 0.0000 0.5000  8 Hf 2.93
Re: 0.5000 0.5000 0.5000  8 Hf 2.93